(1)
! Si2TcPb (PBE, optimized geometry); values from VASP
&SYSTEM
  ibrav = 0, nat = 16, ntyp = 3
/
ATOMIC_SPECIES
Si 28.09 Si.upf
Tc 98.00 Tc.upf
Pb 207.20 Pb.upf
ATOMIC_POSITIONS angstrom
Si 0.000 0.000 0.000
Si 0.000 3.283 3.283
Si 1.642 1.642 1.642
Si 1.642 4.925 4.925
Si 3.283 0.000 3.283
Si 3.283 3.283 0.000
Si 4.925 1.642 4.925
Si 4.925 4.925 1.642
Tc 1.642 1.642 4.925
Tc 1.642 4.925 1.642
Tc 4.925 1.642 1.642
Tc 4.925 4.925 4.925
Pb 0.000 0.000 3.283
Pb 0.000 3.283 0.000
Pb 3.283 0.000 0.000
Pb 3.283 3.283 3.283
CELL_PARAMETERS angstrom
6.566 0.000 0.000
0.000 6.566 0.000
0.000 0.000 6.566
! **Magnetization**: 0.00 μB per atom
! **Formation energy from raw total energies**: 0.79 eV per atom
! **VASP energy**: -5.44 eV/atom
! **Density**: 8.48 g/cm³
! **Symmetry**: No. 216
! **Volume**: 283.1 Å³/cell

(2)
! Re2SeN (PBE, optimized geometry); values from VASP
&SYSTEM
  ibrav = 0, nat = 16, ntyp = 3
/
ATOMIC_SPECIES
Re 186.21 Re.upf
Se 78.96 Se.upf
N 14.01 N.upf
ATOMIC_POSITIONS angstrom
Re 1.473 1.473 1.473
Re 1.473 1.473 4.418
Re 1.473 4.418 1.473
Re 1.473 4.418 4.418
Re 4.418 1.473 1.473
Re 4.418 1.473 4.418
Re 4.418 4.418 1.473
Re 4.418 4.418 4.418
Se 0.000 0.000 0.000
Se 0.000 2.946 2.946
Se 2.946 0.000 2.946
Se 2.946 2.946 0.000
N 0.000 0.000 2.946
N 0.000 2.946 0.000
N 2.946 0.000 0.000
N 2.946 2.946 2.946
CELL_PARAMETERS angstrom
5.891 0.000 0.000
0.000 5.891 0.000
0.000 0.000 5.891
! **Magnetization**: 0.00 μB per atom
! **Formation energy from raw total energies**: 1.13 eV per atom
! **VASP energy**: -8.05 eV/atom
! **Density**: 15.12 g/cm³
! **Symmetry**: No. 225
! **Excess energy over the best structure of this formula in the dataset**: 659 meV per atom
! **Volume**: 204.5 Å³/cell

(3)
! PrTm4Th (PBE, optimized geometry); values from VASP
&SYSTEM
  ibrav = 0, nat = 12, ntyp = 3
/
ATOMIC_SPECIES
Pr 140.91 Pr.upf
Tm 168.93 Tm.upf
Th 232.04 Th.upf
ATOMIC_POSITIONS angstrom
Pr 2.752 6.008 4.633
Pr 3.850 -6.008 1.544
Tm -0.125 1.937 5.425
Tm 2.558 2.794 2.898
Tm 0.972 -1.937 2.336
Tm 5.141 2.794 0.191
Tm 1.461 -2.794 5.987
Tm 5.630 1.937 3.842
Tm 4.044 -2.794 3.280
Tm 6.727 -1.937 0.753
Th 3.850 0.022 1.544
Th 2.752 -0.022 4.633
CELL_PARAMETERS angstrom
4.398 -7.247 0.000
4.398 7.247 0.000
-2.194 0.000 6.178
! **Magnetization**: 0.00 μB per atom
! **VASP energy**: -4.86 eV/atom
! **Density**: 8.84 g/cm³
! **Symmetry**: No. 15
! **Excess energy over the best structure of this formula in the dataset**: 148 meV per atom
! **Formation energy**: 0.1511 eV per atom
! **Volume**: 393.8 Å³/cell

(4)
! La3Pr2Tm (PBE, optimized geometry); values from VASP
&SYSTEM
  ibrav = 0, nat = 12, ntyp = 3
/
ATOMIC_SPECIES
La 138.91 La.upf
Pr 140.91 Pr.upf
Tm 168.93 Tm.upf
ATOMIC_POSITIONS angstrom
La 0.000 0.000 0.000
La 1.669 5.794 0.000
La 1.783 14.809 1.739
La 3.453 9.015 1.739
La 5.122 3.221 1.739
La 5.236 12.235 0.000
Pr 1.614 2.731 1.739
Pr 1.839 11.745 0.000
Pr 5.067 6.284 0.000
Pr 5.292 15.299 1.739
Tm 0.000 9.015 0.000
Tm 3.453 0.000 1.739
CELL_PARAMETERS angstrom
6.906 0.000 0.000
0.000 18.029 0.000
0.000 0.000 3.479
! **Magnetization**: 0.00 μB per atom
! **VASP energy**: -4.58 eV/atom
! **Density**: 6.65 g/cm³
! **Symmetry**: No. 58
! **Excess energy over the best structure of this formula in the dataset**: 203 meV per atom
! **Formation energy**: 0.2247 eV per atom
! **Volume**: 433.1 Å³/cell

(5)
! KLiIO4 (PBE, optimized geometry); values from VASP
&SYSTEM
  ibrav = 0, nat = 14, ntyp = 4
/
ATOMIC_SPECIES
K 39.10 K.upf
Li 6.94 Li.upf
I 126.90 I.upf
O 16.00 O.upf
ATOMIC_POSITIONS angstrom
K 0.467 1.558 1.197
K 2.816 4.675 6.478
Li 0.146 4.675 4.280
Li 3.136 1.558 3.396
I 0.650 1.558 5.539
I 2.632 4.675 2.137
O 0.166 1.558 3.782
O 0.801 4.675 2.301
O 0.372 3.427 5.924
O 0.372 5.924 5.924
O 2.911 0.310 1.752
O 2.911 2.807 1.752
O 2.482 1.558 5.375
O 3.117 4.675 3.894
CELL_PARAMETERS angstrom
4.923 0.000 0.000
0.000 6.233 0.000
-1.640 0.000 7.676
! **Magnetization**: 0.07 μB per atom
! **Formation energy from raw total energies**: -0.97 eV per atom
! **VASP energy**: -4.46 eV/atom
! **Density**: 3.34 g/cm³
! **Symmetry**: No. 11
! **Volume**: 235.5 Å³/cell

(6)
! La2OsBr (PBE, optimized geometry); values from VASP
&SYSTEM
  ibrav = 0, nat = 12, ntyp = 3
/
ATOMIC_SPECIES
La 138.91 La.upf
Os 190.23 Os.upf
Br 79.90 Br.upf
ATOMIC_POSITIONS angstrom
La 0.000 0.000 5.418
La 0.000 0.000 17.976
La 0.000 2.432 10.178
La 0.000 2.432 21.014
La 2.106 1.216 2.380
La 2.106 1.216 13.216
Os 0.000 0.000 11.697
Os 0.000 2.432 3.899
Os 2.106 1.216 19.495
Br 0.000 0.000 0.000
Br 0.000 2.432 15.596
Br 2.106 1.216 7.798
CELL_PARAMETERS angstrom
4.212 0.000 0.000
-2.106 3.648 0.000
0.000 0.000 23.394
! **Magnetization**: 0.00 μB per atom
! **Formation energy from raw total energies**: -0.80 eV per atom
! **VASP energy**: -6.49 eV/atom
! **Density**: 7.59 g/cm³
! **Symmetry**: No. 166
! **Excess energy over the best structure of this formula in the dataset**: 0 meV per atom
! **Volume**: 359.5 Å³/cell